# 1
Ac2YSn2, relaxed, DFT PBE-GGA; volume = 38.43 A^3/atom; offset from the most stable computed form = 152 meV per atom; density = 6.74 g/cm³
1.0
-4.1944 6.6258 3.4565
4.1944 -6.6258 3.4565
4.1944 6.6258 -3.4565
Ac Y Sn
4 2 4
direct
0.1477 0.1515 0.2992 Ac
0.3523 0.6515 0.0038 Ac
0.6477 0.3485 0.9962 Ac
0.8523 0.8485 0.7008 Ac
0.2500 0.7500 0.5000 Y
0.7500 0.2500 0.5000 Y
0.1089 0.7528 0.8617 Sn
0.3911 0.2528 0.6440 Sn
0.6089 0.7472 0.3560 Sn
0.8911 0.2472 0.1383 Sn

=====

# 2
LiCaIO4, relaxed, DFT PBE-GGA; volume = 14.33 A^3/atom; density = 3.94 g/cm³; formation energy (no corrections) = -10.1 eV per formula unit
1.0
-3.4819 3.5779 4.0270
3.4819 -3.5779 4.0270
3.4819 3.5779 -4.0270
Li Ca I O
2 2 2 8
direct
0.0000 0.0000 0.0000 Li
0.5000 0.0000 0.5000 Li
0.5000 0.0000 0.0000 Ca
0.5000 0.5000 0.5000 Ca
0.0515 0.3015 0.7500 I
0.9485 0.6985 0.2500 I
0.1995 0.2427 0.5432 O
0.1995 0.6563 0.9568 O
0.2674 0.2352 0.0323 O
0.2971 0.7648 0.5323 O
0.7029 0.2352 0.4677 O
0.7326 0.7648 0.9677 O
0.8005 0.3437 0.0432 O
0.8005 0.7573 0.4568 O

=====

# 3
Tl5BiS5, relaxed, DFT PBE-GGA; volume = 29.00 A^3/atom; density = 7.24 g/cm³; formation energy (no corrections) = -2.7 eV per formula unit
1.0
6.4406 -3.0323 0.0000
6.4406 3.0323 0.0000
-1.8068 0.0000 8.1670
Tl Bi S
5 1 5
direct
0.0000 0.0000 0.0000 Tl
0.3185 0.3185 0.6307 Tl
0.3439 0.3439 0.1376 Tl
0.6561 0.6561 0.8624 Tl
0.6815 0.6815 0.3693 Tl
0.0000 0.0000 0.5000 Bi
0.1562 0.1562 0.7928 S
0.1663 0.1663 0.3272 S
0.5000 0.5000 0.5000 S
0.8337 0.8337 0.6728 S
0.8438 0.8438 0.2072 S

=====

# 4
RbMgTl2Si, relaxed, DFT PBE-GGA; volume = 38.78 A^3/atom; density = 4.68 g/cm³; formation energy (no corrections) = 3.5 eV per formula unit
1.0
5.5257 0.0000 0.0000
0.0000 5.5257 0.0000
0.0000 0.0000 6.3506
Rb Mg Tl Si
1 1 2 1
direct
0.0000 0.0000 0.0000 Rb
0.0000 0.0000 0.5000 Mg
0.0000 0.5000 0.5000 Tl
0.5000 0.0000 0.5000 Tl
0.5000 0.5000 0.0000 Si

=====

# 5
ThZr2Zn, relaxed, DFT PBE-GGA; volume = 23.04 A^3/atom; offset from the most stable computed form = 19 meV per atom; density = 8.65 g/cm³
1.0
4.5837 0.0000 0.0000
0.0000 4.5837 0.0000
0.0000 0.0000 4.3871
Th Zr Zn
1 2 1
direct
0.0000 0.0000 0.0000 Th
0.0000 0.5000 0.5000 Zr
0.5000 0.0000 0.5000 Zr
0.5000 0.5000 0.0000 Zn

=====

# 6
Cu2Pd7Au2, relaxed, DFT PBE-GGA; volume = 15.87 A^3/atom; offset from the most stable computed form = 0 meV per atom; density = 12.04 g/cm³
1.0
-2.2382 5.5386 3.5203
2.2382 -5.5386 3.5203
2.2382 5.5386 -3.5203
Cu Pd Au
2 7 2
direct
0.0000 0.0000 0.0000 Cu
0.6777 0.1777 0.5000 Cu
0.1131 0.4805 0.6325 Pd
0.2432 0.8789 0.3642 Pd
0.3848 0.3848 0.0000 Pd
0.5147 0.8789 0.6358 Pd
0.5641 0.7008 0.8633 Pd
0.8375 0.7008 0.1367 Pd
0.8480 0.4805 0.3675 Pd
0.3880 0.1769 0.2111 Au
0.9658 0.1769 0.7889 Au

=====

# 7
KHg2Pt, relaxed, DFT PBE-GGA; volume = 23.68 A^3/atom; offset from the most stable computed form = 325 meV per atom; density = 11.14 g/cm³
1.0
3.3074 -5.0244 0.0000
3.3074 5.0244 0.0000
-1.2714 0.0000 2.8494
K Hg Pt
1 2 1
direct
0.0000 0.0000 0.0000 K
0.0000 0.5000 0.5000 Hg
0.5000 0.0000 0.5000 Hg
0.5000 0.5000 0.0000 Pt

=====

# 8
Li2NdCdAg2, relaxed, DFT PBE-GGA; volume = 21.05 A^3/atom; density = 6.39 g/cm³; calculated total energy = -2.745 eV per atom
1.0
4.6705 0.0000 0.0000
-2.3353 4.0448 0.0000
0.0000 0.0000 6.6857
Li Nd Cd Ag
2 1 1 2
direct
0.3333 0.6667 0.1662 Li
0.6667 0.3333 0.8338 Li
0.0000 0.0000 0.5000 Nd
0.0000 0.0000 0.0000 Cd
0.3333 0.6667 0.7622 Ag
0.6667 0.3333 0.2378 Ag

=====

# 9
NdZn2Ge2, relaxed, DFT PBE-GGA; volume = 20.03 A^3/atom; offset from the most stable computed form = 18 meV per atom; density = 6.97 g/cm³
1.0
8.0308 0.0000 0.0000
0.0000 4.5598 0.0000
0.0000 0.0000 10.9409
Nd Zn Ge
4 8 8
direct
0.2371 0.2500 0.1795 Nd
0.2629 0.7500 0.6795 Nd
0.7371 0.2500 0.3205 Nd
0.7629 0.7500 0.8205 Nd
0.0919 0.2500 0.4598 Zn
0.1102 0.2500 0.8517 Zn
0.3898 0.7500 0.3517 Zn
0.4081 0.7500 0.9598 Zn
0.5919 0.2500 0.0402 Zn
0.6102 0.2500 0.6483 Zn
0.8898 0.7500 0.1483 Zn
0.9081 0.7500 0.5402 Zn
0.0610 0.7500 0.3383 Ge
0.0943 0.7500 0.9670 Ge
0.4057 0.2500 0.4670 Ge
0.4390 0.2500 0.8383 Ge
0.5610 0.7500 0.1617 Ge
0.5943 0.7500 0.5330 Ge
0.9057 0.2500 0.0330 Ge
0.9390 0.2500 0.6617 Ge

=====

# 10
HfAgPd5, relaxed, DFT PBE-GGA; volume = 19.42 A^3/atom; offset from the most stable computed form = 198 meV per atom; density = 10.00 g/cm³
1.0
4.6869 -4.9004 0.0000
4.6869 4.9004 0.0000
-3.2635 0.0000 5.9186
Hf Ag Pd
2 2 10
direct
0.0308 0.9692 0.7500 Hf
0.9692 0.0308 0.2500 Hf
0.5000 0.5000 0.0000 Ag
0.5000 0.5000 0.5000 Ag
0.0813 0.6899 0.0194 Pd
0.0871 0.3250 0.6534 Pd
0.2878 0.7122 0.7500 Pd
0.3101 0.9187 0.4806 Pd
0.3250 0.0871 0.1534 Pd
0.6750 0.9129 0.8466 Pd
0.6899 0.0813 0.5194 Pd
0.7122 0.2878 0.2500 Pd
0.9129 0.6750 0.3466 Pd
0.9187 0.3101 0.9806 Pd

=====

# 11
NbReSe2Cl, relaxed, DFT PBE-GGA; volume = 24.15 A^3/atom; density = 6.50 g/cm³; formation energy (no corrections) = 2.9 eV per formula unit
1.0
4.7319 0.0000 0.0000
0.0000 4.7319 0.0000
0.0000 0.0000 5.3928
Nb Re Se Cl
1 1 2 1
direct
0.0000 0.0000 0.0000 Nb
0.0000 0.0000 0.5000 Re
0.0000 0.5000 0.5000 Se
0.5000 0.0000 0.5000 Se
0.5000 0.5000 0.0000 Cl

=====

# 12
BeNiOsPb2, relaxed, DFT PBE-GGA; volume = 17.58 A^3/atom; offset from the most stable computed form = 54 meV per atom; density = 12.70 g/cm³
1.0
4.7550 0.0000 0.0000
0.0000 4.7550 0.0000
0.0000 0.0000 3.8872
Be Ni Os Pb
1 1 1 2
direct
0.0000 0.0000 0.0000 Be
0.0000 0.0000 0.5000 Ni
0.5000 0.5000 0.5000 Os
0.0000 0.5000 0.0000 Pb
0.5000 0.0000 0.0000 Pb

=====

# 13
BaCaP, relaxed, DFT PBE-GGA; volume = 30.90 A^3/atom; density = 3.73 g/cm³; calculated total energy = -3.909 eV per atom
1.0
4.7044 0.0000 0.0000
0.0000 4.7044 0.0000
0.0000 0.0000 8.3763
Ba Ca P
2 2 2
direct
0.2500 0.2500 0.1323 Ba
0.7500 0.7500 0.8677 Ba
0.2500 0.7500 0.5000 Ca
0.7500 0.2500 0.5000 Ca
0.2500 0.2500 0.7175 P
0.7500 0.7500 0.2825 P

=====

# 14
Nd3Y3Sc, relaxed, DFT PBE-GGA; volume = 33.63 A^3/atom; offset from the most stable computed form = 237 meV per atom; density = 5.25 g/cm³
1.0
4.3416 2.5066 7.2109
-4.3416 2.5066 7.2109
0.0000 -5.0133 7.2109
Nd Y Sc
6 6 2
direct
0.0694 0.2951 0.8050 Nd
0.1950 0.9306 0.7049 Nd
0.2951 0.8050 0.0694 Nd
0.7049 0.1950 0.9306 Nd
0.8050 0.0694 0.2951 Nd
0.9306 0.7049 0.1950 Nd
0.0583 0.7295 0.5655 Y
0.2705 0.4345 0.9417 Y
0.4345 0.9417 0.2705 Y
0.5655 0.0582 0.7295 Y
0.7295 0.5655 0.0582 Y
0.9417 0.2705 0.4345 Y
0.3457 0.3457 0.3457 Sc
0.6543 0.6543 0.6543 Sc

=====

# 15
AcPmCu4, relaxed, DFT PBE-GGA; volume = 19.29 A^3/atom; offset from the most stable computed form = 189 meV per atom; density = 8.98 g/cm³
1.0
0.0000 3.8678 3.8678
3.8678 0.0000 3.8678
3.8678 3.8678 0.0000
Ac Pm Cu
1 1 4
direct
0.0000 0.0000 0.0000 Ac
0.2500 0.2500 0.2500 Pm
0.1310 0.6230 0.6230 Cu
0.6230 0.1310 0.6230 Cu
0.6230 0.6230 0.1310 Cu
0.6230 0.6230 0.6230 Cu

=====

# 16
SrLaCl2, relaxed, DFT PBE-GGA; volume = 32.98 A^3/atom; offset from the most stable computed form = 213 meV per atom; density = 3.74 g/cm³; formation energy (no corrections) = -5.5 eV per formula unit
1.0
-2.0730 2.0730 7.6749
2.0730 -2.0730 7.6749
2.0730 2.0730 -7.6749
Sr La Cl
1 1 2
direct
0.0000 0.0000 0.0000 Sr
0.7500 0.2500 0.5000 La
0.2500 0.7500 0.5000 Cl
0.5000 0.5000 0.0000 Cl

=====

# 17
HfScAu, relaxed, DFT PBE-GGA; volume = 21.47 A^3/atom; offset from the most stable computed form = 250 meV per atom; density = 10.84 g/cm³
1.0
3.2594 0.0000 0.0000
-1.6297 2.8227 0.0000
0.0000 0.0000 6.9970
Hf Sc Au
1 1 1
direct
0.0000 0.0000 0.0000 Hf
0.6667 0.3333 0.6434 Sc
0.3333 0.6667 0.3191 Au

=====

# 18
SnICl4, relaxed, DFT PBE-GGA; volume = 53.48 A^3/atom; density = 2.00 g/cm³; formation energy (no corrections) = -3.4 eV per formula unit
1.0
-3.8035 3.8035 5.5452
3.8035 -3.8035 5.5452
3.8035 3.8035 -5.5452
Sn I Cl
1 1 4
direct
0.0000 0.0000 0.0000 Sn
0.2500 0.7500 0.5000 I
0.3641 0.1717 0.2952 Cl
0.8283 0.1235 0.1924 Cl
0.8765 0.0689 0.7048 Cl
0.9311 0.6359 0.8076 Cl

=====

# 19
K3CrAg, relaxed, DFT PBE-GGA; volume = 52.61 A^3/atom; offset from the most stable computed form = 0 meV per atom; density = 1.75 g/cm³
1.0
6.4074 0.0000 0.0000
0.0000 6.4074 0.0000
0.0000 0.0000 6.4074
K Cr Ag
3 1 1
direct
0.0000 0.0000 0.5000 K
0.0000 0.5000 0.0000 K
0.5000 0.0000 0.0000 K
0.5000 0.5000 0.5000 Cr
0.0000 0.0000 0.0000 Ag

=====

# 20
YPt2Pb, relaxed, DFT PBE-GGA; volume = 23.88 A^3/atom; density = 11.93 g/cm³; calculated total energy = -6.169 eV per atom
1.0
2.0468 1.1817 6.5816
-2.0468 1.1817 6.5816
0.0000 -2.3635 6.5816
Y Pt Pb
1 2 1
direct
0.0000 0.0000 0.0000 Y
0.2472 0.2472 0.2472 Pt
0.7528 0.7528 0.7528 Pt
0.5000 0.5000 0.5000 Pb

=====

# 21
Sr6GaAg, relaxed, DFT PBE-GGA; volume = 41.77 A^3/atom; density = 3.49 g/cm³; calculated total energy = -2.154 eV per atom
1.0
-2.8512 2.8512 10.2766
2.8512 -2.8512 10.2766
2.8512 2.8512 -10.2766
Sr Ga Ag
6 1 1
direct
0.0900 0.5900 0.5000 Sr
0.2483 0.2483 0.0000 Sr
0.4100 0.9100 0.5000 Sr
0.5900 0.0900 0.5000 Sr
0.7517 0.7517 0.0000 Sr
0.9100 0.4100 0.5000 Sr
0.0000 0.0000 0.0000 Ga
0.5000 0.5000 0.0000 Ag

=====

# 22
ThCrFeGe2, relaxed, DFT PBE-GGA; volume = 17.59 A^3/atom; density = 9.16 g/cm³; calculated total energy = -7.365 eV per atom
1.0
-2.0536 2.0536 5.2146
2.0536 -2.0536 5.2146
2.0536 2.0536 -5.2146
Th Cr Fe Ge
1 1 1 2
direct
0.0000 0.0000 0.0000 Th
0.2500 0.7500 0.5000 Cr
0.7500 0.2500 0.5000 Fe
0.3731 0.3731 0.0000 Ge
0.6269 0.6269 0.0000 Ge

=====

# 23
ThScCd, relaxed, DFT PBE-GGA; volume = 26.54 A^3/atom; offset from the most stable computed form = 0 meV per atom; density = 8.12 g/cm³
1.0
-1.7292 1.7292 6.6565
1.7292 -1.7292 6.6565
1.7292 1.7292 -6.6565
Th Sc Cd
1 1 1
direct
0.0000 0.0000 0.0000 Th
0.3221 0.3221 0.0000 Sc
0.6832 0.6832 0.0000 Cd

=====

# 24
Cs2CeF5, relaxed, DFT PBE-GGA; volume = 22.28 A^3/atom; density = 4.67 g/cm³; formation energy (no corrections) = -27.1 eV per formula unit
1.0
12.1856 0.0000 0.0000
0.0000 7.9941 0.0000
0.0000 0.0000 7.3179
Cs Ce F
8 4 20
direct
0.1691 0.0021 0.0360 Cs
0.1691 0.4979 0.0360 Cs
0.3309 0.5021 0.5360 Cs
0.3309 0.9979 0.5360 Cs
0.6691 0.0021 0.4640 Cs
0.6691 0.4979 0.4640 Cs
0.8309 0.5021 0.9640 Cs
0.8309 0.9979 0.9640 Cs
0.0016 0.2500 0.5515 Ce
0.4984 0.7500 0.0515 Ce
0.5016 0.2500 0.9485 Ce
0.9984 0.7500 0.4485 Ce
0.0164 0.2500 0.8695 F
0.0673 0.5338 0.6431 F
0.0673 0.9662 0.6431 F
0.1617 0.2500 0.3829 F
0.1798 0.7500 0.3551 F
0.3202 0.2500 0.8551 F
0.3383 0.7500 0.8829 F
0.4327 0.0338 0.1431 F
0.4327 0.4662 0.1431 F
0.4836 0.7500 0.3695 F
0.5164 0.2500 0.6305 F
0.5673 0.5338 0.8569 F
0.5673 0.9662 0.8569 F
0.6617 0.2500 0.1171 F
0.6798 0.7500 0.1449 F
0.8202 0.2500 0.6449 F
0.8383 0.7500 0.6171 F
0.9327 0.0338 0.3569 F
0.9327 0.4662 0.3569 F
0.9836 0.7500 0.1305 F